Run one
Material: CrW2C
Method: DFT, PBE
State: relaxed

CIF file:
```
data_CrW2C
_cell_length_a 2.8724
_cell_length_b 2.8724
_cell_length_c 22.9983
_cell_angle_alpha 90.00
_cell_angle_beta 90.00
_cell_angle_gamma 120.00
_symmetry_space_group_name_H-M 'R -3 m'
_symmetry_Int_Tables_number 166
_symmetry_space_group_name_Hall '-R 3 2"'
loop_
_atom_site_label
_atom_site_type_symbol
_atom_site_fract_x
_atom_site_fract_y
_atom_site_fract_z
Cr1 Cr 0.0000 0.0000 0.0000
W1 W 0.0000 0.0000 0.1075
C1 C 0.0000 0.0000 0.5000
```

---

Run two
Material: CrW2C
Method: DFT, PBE
State: relaxed

CIF file:
```
data_CrW2C
_cell_length_a 7.197
_cell_length_b 7.197
_cell_length_c 4.160
_cell_angle_alpha 90.00
_cell_angle_beta 90.00
_cell_angle_gamma 90.00
_symmetry_space_group_name_H-M 'I -4 2 d'
_symmetry_Int_Tables_number 122
_symmetry_space_group_name_Hall 'I -4 2bw'
loop_
_atom_site_label
_atom_site_type_symbol
_atom_site_fract_x
_atom_site_fract_y
_atom_site_fract_z
Cr1 Cr 0.000 0.000 0.000
W1 W 0.133 0.250 0.625
C1 C 0.000 0.000 0.500
```

---

Computed stability ranking, most favorable first: run two, run one